The following is a DFT calculation (PBE) of an optimized crystal structure of NbCu5Ni6.

Its space group is P2/m, No. 10. The total energy is -0.4025 Ry/atom. The value obtained for the total magnetic moment is 0.00 μB per formula unit.

```
data_NbCu5Ni6
_cell_length_a 4.345
_cell_length_b 5.256
_cell_length_c 6.247
_cell_angle_alpha 90.00
_cell_angle_beta 94.00
_cell_angle_gamma 90.00
_symmetry_space_group_name_H-M 'P 1'
_symmetry_Int_Tables_number 1
loop_
_symmetry_equiv_pos_as_xyz
'x,y,z'
loop_
_atom_site_label
_atom_site_type_symbol
_atom_site_fract_x
_atom_site_fract_y
_atom_site_fract_z
_atom_site_occupancy
Ni1 Ni 0.845 0.748 0.664 1
Ni2 Ni 0.845 0.252 0.664 1
Ni3 Ni 0.500 0.257 0.000 1
Ni4 Ni 0.500 0.743 0.000 1
Ni5 Ni 0.155 0.748 0.336 1
Ni6 Ni 0.155 0.252 0.336 1
Nb1 Nb 0.000 0.000 0.000 1
Cu1 Cu 0.656 0.500 0.332 1
Cu2 Cu 0.350 0.000 0.664 1
Cu3 Cu 0.000 0.500 0.000 1
Cu4 Cu 0.650 0.000 0.336 1
Cu5 Cu 0.344 0.500 0.668 1
```